No. 1
Entry from Alexandria via LeMat-Bulk: a relaxed structure of Ir2Ru2Rh (PBE-GGA).

Cell: 4.392 2.715 6.508 Å, 90.00 109.72 90.00°
Atoms (fractional coordinates):
Ir 0.380 0.000 0.759
Ir 0.620 0.000 0.241
Ru 0.188 0.500 0.377
Ru 0.812 0.500 0.623
Rh 0.000 0.000 0.000

For the mass density, the calculation gives 15.67 g cm⁻³. As for the distance to the lowest polymorph of the same formula: 0.64 eV/f.u. Its total moment is 0.00 Bohr magnetons per cell. Its calculated formation energy is 0.113 eV per atom.

No. 2
Entry from Alexandria via LeMat-Bulk: a relaxed structure of Tb2ErAlO (PBE-GGA).

Cell: 4.658 4.762 4.762 Å, 90.00 90.00 90.00°
Atoms (fractional coordinates):
Tb 0.000 0.000 0.500
Tb 0.000 0.500 0.000
Er 0.500 0.000 0.000
Al 0.500 0.500 0.500
O 0.000 0.000 0.000

For the mass density, the calculation gives 8.30 g cm⁻³. Its total moment is 0.00 Bohr magnetons per cell. Its formation energy (no corrections) is -661 kJ/mol of formula units.

No. 3
Entry from Alexandria via LeMat-Bulk: a relaxed structure of CsMnSn2S6 (PBE-GGA).

Cell: 6.841 9.433 9.433 Å, 73.56 76.81 76.81°
Atoms (fractional coordinates):
Cs 0.250 0.889 0.111
Cs 0.750 0.111 0.889
Mn 0.250 0.295 0.705
Mn 0.750 0.705 0.295
Sn 0.332 0.814 0.591
Sn 0.168 0.409 0.186
Sn 0.668 0.186 0.409
Sn 0.832 0.591 0.814
S 0.361 0.087 0.657
S 0.139 0.343 0.913
S 0.639 0.913 0.343
S 0.861 0.657 0.087
S 0.488 0.614 0.410
S 0.012 0.590 0.386
S 0.512 0.386 0.590
S 0.988 0.410 0.614
S 0.947 0.835 0.672
S 0.553 0.328 0.165
S 0.053 0.165 0.328
S 0.447 0.672 0.835

For the mass density, the calculation gives 3.67 g cm⁻³. Its total moment is 0.00 Bohr magnetons per cell. Its formation energy (no corrections) is -400 kJ/mol of formula units.

No. 4
Entry from Alexandria via LeMat-Bulk: a relaxed structure of BaAlCdSn2 (PBE-GGA).

Cell: 5.027 5.027 6.842 Å, 111.55 111.55 90.00°
Atoms (fractional coordinates):
Ba 0.000 0.000 0.000
Al 0.750 0.250 0.500
Cd 0.250 0.750 0.500
Sn 0.626 0.626 0.253
Sn 0.374 0.374 0.747

For the mass density, the calculation gives 5.78 g cm⁻³. Its total moment is 0.00 Bohr magnetons per cell. Its calculated formation energy is -0.306 eV per atom.

No. 5
Entry from Alexandria via LeMat-Bulk: a relaxed structure of Nd10In3Bi3 (PBE-GGA).

Cell: 6.816 9.410 9.410 Å, 120.00 90.00 90.00°
Atoms (fractional coordinates):
Nd 0.248 0.667 0.333
Nd 0.248 0.333 0.667
Nd 0.752 0.333 0.667
Nd 0.752 0.667 0.333
Nd 0.500 0.000 0.760
Nd 0.500 0.760 0.000
Nd 0.500 0.240 0.240
Nd 0.000 0.000 0.238
Nd 0.000 0.238 0.000
Nd 0.000 0.762 0.762
In 0.000 0.000 0.604
In 0.000 0.604 0.000
In 0.000 0.396 0.396
Bi 0.500 0.000 0.392
Bi 0.500 0.392 0.000
Bi 0.500 0.608 0.608

For the mass density, the calculation gives 7.67 g cm⁻³. Its total moment is 0.00 Bohr magnetons per cell. Its calculated formation energy is -0.563 eV per atom.

No. 6
Entry from Alexandria via LeMat-Bulk: a relaxed structure of Ce2NdH (PBE-GGA).

Cell: 3.331 3.331 9.793 Å, 80.21 80.21 60.00°
Site moments in Bohr magnetons follow the coordinates.
Atoms (fractional coordinates):
H 0.500 0.500 0.500  0.00
Nd 0.000 0.000 0.000  -0.03
Ce 0.113 0.113 0.660  0.22
Ce 0.887 0.887 0.340  0.22

For the mass density, the calculation gives 7.66 g cm⁻³. As for the distance to the lowest polymorph of the same formula: 0.00 eV/f.u. Its total moment is 0.47 Bohr magnetons per cell.

No. 7
Entry from Alexandria via LeMat-Bulk: a relaxed structure of K2OsW (PBE-GGA).

Cell: 3.140 4.419 5.995 Å, 90.00 90.00 90.00°
Atoms (fractional coordinates):
K 0.000 0.000 0.000
K 0.500 0.500 0.000
Os 0.500 0.000 0.500
W 0.000 0.500 0.500

For the mass density, the calculation gives 9.03 g cm⁻³. As for the distance to the lowest polymorph of the same formula: 2.25 eV/f.u. Its total moment is 0.00 Bohr magnetons per cell. Its calculated formation energy is 1.377 eV per atom.

No. 8
Entry from Alexandria via LeMat-Bulk: a relaxed structure of AlP2SF (PBE-GGA).

Cell: 3.951 3.951 5.747 Å, 90.00 90.00 90.00°
Atoms (fractional coordinates):
P 0.000 0.500 0.000
P 0.500 0.000 0.000
S 0.000 0.000 0.500
Al 0.500 0.500 0.500
F 0.000 0.000 0.000

For the mass density, the calculation gives 2.59 g cm⁻³. As for the distance to the lowest polymorph of the same formula: 0.83 eV/f.u. Its total moment is 0.00 Bohr magnetons per cell. Its formation energy (no corrections) is 271 kJ/mol of formula units.

No. 9
Entry from Alexandria via LeMat-Bulk: a relaxed structure of CrCuBiAu2 (PBE-GGA).

Cell: 5.440 4.897 5.440 Å, 90.00 90.00 90.00°
Site moments in Bohr magnetons follow the coordinates.
Atoms (fractional coordinates):
Cr 0.500 0.500 0.500  4.31
Au 0.000 0.000 0.500  0.01
Au 0.500 0.000 0.000  0.02
Bi 0.000 0.000 0.000  0.02
Cu 0.000 0.500 0.000  0.02

For the mass density, the calculation gives 8.23 g cm⁻³. Its total moment is 5.27 Bohr magnetons per cell. Its calculated formation energy is 0.973 eV per atom.

No. 10
Entry from Alexandria via LeMat-Bulk: a relaxed structure of Ho6Er3Th2Sc (PBE-GGA).

Cell: 6.069 6.069 11.666 Å, 94.99 94.99 119.99°
Atoms (fractional coordinates):
Ho 0.918 0.585 0.753
Ho 0.749 0.749 0.248
Ho 0.082 0.415 0.247
Ho 0.585 0.918 0.753
Ho 0.251 0.251 0.752
Ho 0.415 0.082 0.247
Er 0.167 0.833 0.500
Er 0.833 0.167 0.500
Er 0.500 0.500 0.500
Th 0.334 0.666 0.000
Th 0.666 0.334 0.000
Sc 0.000 0.000 0.000

For the mass density, the calculation gives 9.06 g cm⁻³. Its total moment is 0.00 Bohr magnetons per cell. Its calculated formation energy is 0.028 eV per atom.

No. 11
Entry from Alexandria via LeMat-Bulk: a relaxed structure of AcCeRhAu (PBE-GGA).

Cell: 5.244 5.244 5.244 Å, 60.00 60.00 60.00°
Site moments in Bohr magnetons follow the coordinates.
Atoms (fractional coordinates):
Rh 0.500 0.500 0.500  -0.05
Ac 0.250 0.250 0.250  0.03
Au 0.000 0.000 0.000  0.01
Ce 0.750 0.750 0.750  0.77

For the mass density, the calculation gives 10.86 g cm⁻³. Its total moment is 0.95 Bohr magnetons per cell. Its calculated formation energy is -0.576 eV per atom.

No. 12
Entry from Alexandria via LeMat-Bulk: a relaxed structure of CeMgZn2Pt2 (PBE-GGA).

Cell: 4.431 4.431 6.659 Å, 90.00 90.00 120.00°
Site moments in Bohr magnetons follow the coordinates.
Atoms (fractional coordinates):
Ce 0.000 0.000 0.000  0.58
Mg 0.000 0.000 0.500  0.00
Zn 0.333 0.667 0.689  0.01
Zn 0.667 0.333 0.311  0.01
Pt 0.333 0.667 0.275  -0.01
Pt 0.667 0.333 0.725  -0.01

For the mass density, the calculation gives 10.05 g cm⁻³. Its total moment is 0.67 Bohr magnetons per cell. Its calculated formation energy is -0.750 eV per atom.